A geometry-optimized HoNiBO4 structure. Source: the Alexandria database, functional PBE with a Hubbard U.

Summary:
**Calculated volume**: 9.995 Å³/atom
**Magnetic moment**: 2.0 μB per formula unit
**Final energy**: -0.506 Ry per atom

a b c (Å): 5.723 6.082 8.041
angles (deg): 90.00 90.00 90.00
Space group Imma (No. 74)
Unique sites:
Ho  0.000  0.000  0.000 [4 per cell]
Ni  0.250  0.250  0.250 [4 per cell]
B  0.000  0.250  0.614 [4 per cell]
O  0.000  0.039  0.726 [8 per cell]
O  0.217  0.250  0.505 [8 per cell]